# 1
Below is a geometry-optimized Rb2VNiBr6 structure, with properties calculated at the PBE level.

Lattice parameters (Å, degrees): 7.415 7.415 7.419 60.02 60.02 90.00
Site moments in Bohr magnetons follow the coordinates.
Sites, in units of the cell vectors:
Rb 0.250 0.750 0.500  0.00
Br 0.749 0.251 0.000  -0.04
Br 0.749 0.749 0.000  -0.04
Br 0.748 0.748 0.503  -0.04
Rb 0.750 0.250 0.500  0.00
Br 0.251 0.251 0.000  -0.04
Br 0.252 0.252 0.497  -0.04
Ni 0.000 0.000 0.000  -1.14
Br 0.251 0.749 0.000  -0.04
V 0.500 0.500 0.000  2.17

Properties
- Raw formation energy: -980.1 meV per atom
- Electronic total energy: -3.667 eV per atom


# 2
Below is a geometry-optimized SrRu2Rh2 structure, with properties calculated at the PBE level.

Lattice parameters (Å, degrees): 4.206 4.206 6.109 69.87 69.87 90.00
Sites, in units of the cell vectors:
Ru 0.393 0.393 0.214
Sr 0.000 0.000 0.000
Rh 0.750 0.250 0.500
Ru 0.607 0.607 0.786
Rh 0.250 0.750 0.500

Properties
- Polymorph energy (0 for the lowest one): 10 meV per atom
- Electronic total energy: -6.793 eV per atom
- Energy of formation: 194.8 meV per atom


# 3
Below is a geometry-optimized Th3BP2Rh9 structure, with properties calculated at the PBE level.

Lattice parameters (Å, degrees): 6.610 6.610 6.893 90.00 90.00 120.00
Sites, in units of the cell vectors:
Th 0.667 0.333 0.340
Rh 0.298 0.149 0.675
Rh 0.149 0.851 0.325
Rh 0.851 0.702 0.675
B 0.000 0.000 0.500
Th 0.333 0.667 0.660
Rh 0.702 0.851 0.325
P 0.333 0.667 0.205
P 0.667 0.333 0.795
Rh 0.149 0.298 0.325
Rh 0.000 0.500 0.000
Th 0.000 0.000 0.000
Rh 0.500 0.000 0.000
Rh 0.500 0.500 0.000
Rh 0.851 0.149 0.675

Properties
- Electronic total energy: -7.874 eV per atom
- Energy of formation: -812.2 meV per atom


# 4
Below is a geometry-optimized KIrRu structure, with properties calculated at the PBE level.

Lattice parameters (Å, degrees): 7.629 7.629 7.629 158.53 158.53 30.55
Site moments in Bohr magnetons follow the coordinates.
Sites, in units of the cell vectors:
Ru 0.636 0.636 0.000  0.20
K 0.338 0.338 0.000  0.01
Ir 0.026 0.026 0.000  0.03

Properties
- Polymorph energy (0 for the lowest one): 275 meV per atom
- Electronic total energy: -5.696 eV per atom
- Energy of formation: 715.7 meV per atom


# 5
Below is a geometry-optimized Ho2Mn16Re structure, with properties calculated at the PBE level.

Lattice parameters (Å, degrees): 6.347 6.347 6.347 86.01 86.01 86.01
Site moments in Bohr magnetons follow the coordinates.
Sites, in units of the cell vectors:
Mn 0.500 0.999 0.999  0.35
Mn 0.355 0.355 0.876  2.20
Ho 0.643 0.643 0.643  -0.15
Mn 0.640 0.640 0.125  2.30
Mn 0.723 0.002 0.279  -1.11
Mn 0.002 0.723 0.279  -1.11
Mn 0.723 0.279 0.002  -1.11
Mn 0.104 0.104 0.104  -2.30
Mn 0.640 0.125 0.640  2.30
Mn 0.125 0.640 0.640  2.30
Mn 0.002 0.279 0.723  -1.11
Mn 0.999 0.999 0.500  0.35
Ho 0.354 0.354 0.354  -0.14
Mn 0.876 0.355 0.355  2.20
Mn 0.279 0.002 0.723  -1.11
Mn 0.999 0.500 0.999  0.35
Re 0.900 0.900 0.900  -0.12
Mn 0.355 0.876 0.355  2.20
Mn 0.279 0.723 0.002  -1.11

Properties
- Electronic total energy: -8.866 eV per atom
- Energy of formation: -7.1 meV per atom


# 6
Below is a geometry-optimized DyThSe2O structure, with properties calculated at the PBE level.

Lattice parameters (Å, degrees): 4.089 4.089 14.158 90.00 90.00 90.00
Sites, in units of the cell vectors:
Se 0.500 0.000 0.309
Se 0.000 0.500 0.691
Th 0.000 0.500 0.887
Se 0.000 0.500 0.111
Dy 0.500 0.000 0.573
Dy 0.000 0.500 0.427
Th 0.500 0.000 0.113
Se 0.500 0.000 0.889
O 0.500 0.500 0.500
O 0.000 0.000 0.500

Properties
- Raw formation energy: -2290.6 meV per atom
- Electronic total energy: -7.080 eV per atom


# 7
Below is a geometry-optimized KBa4As structure, with properties calculated at the PBE level.

Lattice parameters (Å, degrees): 7.538 7.538 7.538 60.00 60.00 60.00
Sites, in units of the cell vectors:
Ba 0.373 0.373 0.882
K 0.750 0.750 0.750
Ba 0.882 0.373 0.373
Ba 0.373 0.373 0.373
As 0.000 0.000 0.000
Ba 0.373 0.882 0.373

Properties
- Electronic total energy: -1.930 eV per atom
- Energy of formation: 309.6 meV per atom


# 8
Below is a geometry-optimized Ce2NbNiN5 structure, with properties calculated at the PBE level.

Lattice parameters (Å, degrees): 3.292 6.664 10.323 90.00 90.00 104.30
Sites, in units of the cell vectors:
Ni 0.524 0.048 0.954
Nb 0.199 0.399 0.013
Ce 0.859 0.718 0.808
Nb 0.801 0.601 0.513
Ce 0.105 0.209 0.685
N 0.487 0.974 0.775
N 0.051 0.102 0.064
N 0.368 0.737 0.996
N 0.675 0.351 0.876
N 0.949 0.898 0.564
N 0.513 0.026 0.275
Ce 0.141 0.282 0.308
N 0.282 0.563 0.653
Ni 0.476 0.952 0.454
N 0.325 0.649 0.376
N 0.632 0.263 0.496
N 0.718 0.437 0.153
Ce 0.895 0.791 0.185

Properties
- Raw formation energy: -888.4 meV per atom
- Electronic total energy: -8.593 eV per atom


# 9
Below is a geometry-optimized Dy2CdPd2 structure, with properties calculated at the PBE level.

Lattice parameters (Å, degrees): 7.740 7.740 3.702 90.00 90.00 90.00
Sites, in units of the cell vectors:
Cd 0.000 0.000 0.000
Pd 0.129 0.629 0.000
Cd 0.500 0.500 0.000
Dy 0.671 0.171 0.500
Dy 0.329 0.829 0.500
Pd 0.371 0.129 0.000
Pd 0.629 0.871 0.000
Pd 0.871 0.371 0.000
Dy 0.829 0.671 0.500
Dy 0.171 0.329 0.500

Properties
- Electronic total energy: -4.901 eV per atom
- Energy of formation: -800.4 meV per atom


# 10
Below is a geometry-optimized LaYLu2 structure, with properties calculated at the PBE level.

Lattice parameters (Å, degrees): 5.678 5.678 5.678 60.00 60.00 60.00
Sites, in units of the cell vectors:
Y 0.500 0.500 0.500
Lu 0.750 0.750 0.750
Lu 0.250 0.250 0.250
La 0.000 0.000 0.000

Properties
- Electronic total energy: -5.028 eV per atom
- Energy of formation: 79.9 meV per atom


# 11
Below is a geometry-optimized Pr4U6O19 structure, with properties calculated at the PBE level.

Lattice parameters (Å, degrees): 8.447 8.447 8.447 109.47 109.47 109.47
Site moments in Bohr magnetons follow the coordinates.
Sites, in units of the cell vectors:
U 0.853 0.353 0.500  0.70
O 0.389 0.714 0.764  -0.01
U 0.353 0.500 0.853  0.70
U 0.500 0.853 0.353  0.70
O 0.625 0.236 0.950  -0.01
O 0.950 0.625 0.236  -0.01
Pr 0.718 0.000 0.000  0.01
O 0.050 0.286 0.675  -0.01
O 0.315 0.315 0.000  -0.02
O 0.714 0.764 0.389  -0.01
O 0.000 0.000 0.000  0.00
U 0.647 0.500 0.147  0.70
O 0.764 0.389 0.714  -0.01
O 0.315 0.000 0.315  -0.02
U 0.147 0.647 0.500  0.70
O 0.000 0.685 0.685  -0.02
O 0.236 0.950 0.625  -0.01
O 0.375 0.325 0.611  -0.01
Pr 0.282 0.282 0.282  0.01
O 0.000 0.315 0.315  -0.02
U 0.500 0.147 0.647  0.70
Pr 0.000 0.000 0.718  0.01
Pr 0.000 0.718 0.000  0.01
O 0.675 0.050 0.286  -0.01
O 0.685 0.685 0.000  -0.02
O 0.611 0.375 0.325  -0.01
O 0.286 0.675 0.050  -0.01
O 0.685 0.000 0.685  -0.02
O 0.325 0.611 0.375  -0.01

Properties
- Raw formation energy: -3105.8 meV per atom
- Electronic total energy: -9.349 eV per atom


# 12
Below is a geometry-optimized Zr3ScNb structure, with properties calculated at the PBE level.

Lattice parameters (Å, degrees): 5.121 5.121 5.121 90.00 90.00 90.00
Sites, in units of the cell vectors:
Nb 0.000 0.000 0.000
Zr 0.500 0.000 0.000
Sc 0.500 0.500 0.500
Zr 0.000 0.000 0.500
Zr 0.000 0.500 0.000

Properties
- Polymorph energy (0 for the lowest one): 676 meV per atom
- Electronic total energy: -7.683 eV per atom
- Energy of formation: 726.4 meV per atom


> Among the records above, which one has the lowest electronic total energy?

Pr4U6O19


> Which of these has the highest electronic total energy?

KBa4As


> Which value of electronic total energy does entry 8 give?

-8.593 eV per atom